A plane-wave DFT calculation with GGA-PBE was carried out for a relaxed CsTmHgF6 crystal.

```
9
Lattice="6.183 0.002 0.001 3.094 5.353 -0.001 0.002 -0.003 6.128" Properties=species:S:1:pos:R:3 pbc="T T T"
Cs 0.000 0.000 0.000
F 7.969 3.341 4.259
F 5.490 5.231 4.255
Tm 6.185 3.569 3.064
Hg 3.094 1.785 3.064
F 5.091 2.142 4.260
F 7.277 2.137 1.874
F 4.402 3.334 1.868
F 6.879 5.228 1.870
```

Summary:
space group: C2, No. 5
size of the total moment: 0.00 μB per formula unit
energy relative to the elements, uncorrected: -2.953 eV per atom